A relaxed structure of Sr2IF3. Source: Alexandria, functional GGA-PBE.

The structure in POSCAR format:
```
Sr2IF3
1.0
-3.273 0.051 2.594
3.015 -7.097 0.580
4.601 6.089 5.687
F Sr I
6 4 2
Direct
0.325 0.649 0.571
0.618 0.236 0.684
0.978 0.956 0.641
0.022 0.044 0.359
0.382 0.764 0.316
0.675 0.351 0.429
0.164 0.328 0.596
0.836 0.672 0.404
0.512 0.025 0.226
0.488 0.975 0.774
0.858 0.715 0.931
0.142 0.285 0.069
```

Values from the calculation:
ΔE_f (raw) = -20.11 eV per formula unit


A relaxed structure of Mn3ZnPt12. Source: Alexandria, functional GGA-PBE.

The structure in POSCAR format:
```
Mn3ZnPt12
1.0
-0.564 -2.400 3.057
3.332 -1.889 -0.868
8.008 9.885 9.238
Pt Mn Zn
12 3 1
Direct
0.000 0.500 0.375
0.500 0.500 0.500
0.500 0.500 0.000
0.500 0.000 0.375
0.000 0.500 0.125
0.500 0.500 0.750
0.000 0.500 0.625
0.000 0.500 0.875
0.500 0.500 0.250
0.500 0.000 0.125
0.500 0.000 0.625
0.500 0.000 0.875
0.000 0.000 0.500
0.000 0.000 0.249
0.000 0.000 0.751
0.000 0.000 0.000
```

Values from the calculation:
electronic total energy = -6.69 eV/atom


A relaxed structure of Tb4Sm5Dy3. Source: Alexandria, functional GGA-PBE.

The structure in POSCAR format:
```
Tb4Sm5Dy3
1.0
-1.162 6.429 -2.941
-7.441 -7.320 4.411
8.132 9.975 1.155
Sm Dy Tb
5 3 4
Direct
0.250 0.500 0.000
0.750 0.500 0.000
0.334 0.666 0.832
0.666 0.334 0.168
0.500 0.000 0.500
0.000 0.000 0.500
0.585 0.168 0.334
0.415 0.832 0.666
0.084 0.168 0.334
0.916 0.832 0.666
0.835 0.669 0.834
0.165 0.331 0.166
```

Values from the calculation:
relative energy among the computed polymorphs = 0 meV/atom


A relaxed structure of Sc2VGaC. Source: Alexandria, functional GGA-PBE.

The structure in POSCAR format:
```
Sc2VGaC
1.0
4.491 0.000 0.000
0.000 4.491 0.000
0.000 0.000 4.013
V C Sc Ga
1 1 2 1
Direct
0.000 0.000 0.500
0.000 0.000 0.000
0.000 0.500 0.000
0.500 0.000 0.000
0.500 0.500 0.500
```

Values from the calculation:
electronic total energy = -7.32 eV/atom


A relaxed structure of ScFeAu2. Source: Alexandria, functional GGA-PBE.

The structure in POSCAR format:
```
ScFeAu2
1.0
4.538 0.000 0.000
0.000 3.254 -0.048
0.000 0.067 4.729
Fe Sc Au
1 1 2
Direct
0.000 0.626 0.415
0.500 0.625 0.823
0.000 0.125 0.934
0.500 0.125 0.328
```

Values from the calculation:
electronic total energy = -5.57 eV/atom